LuSiAg2 | the Open Quantum Materials Database | GGA-PBE | optimized geometry; DFT total energy = -4.102 eV/atom; spin magnetization = 0.00 μB/cell
1.0
-3.606 -2.806 1.209
-3.506 -0.796 -3.068
-0.462 -4.253 -2.010
Ag Si Lu
2 1 1
Direct
0.000 0.000 0.000
0.750 0.750 0.750
0.500 0.500 0.500
0.250 0.250 0.250